Compound: Rb3SiF6
Source: Alexandria
Functional: PBE-GGA
Structure: optimized geometry

```
Rb3SiF6
1.0
6.0644 0.1988 0.0000
-0.7463 6.0216 0.0000
-2.6591 -3.1102 6.0884
F Si Rb
6 1 3
Direct
0.9492 0.9492 0.2007
0.8079 0.1921 0.0000
0.0508 0.0508 0.7993
0.2515 0.2515 0.2007
0.7485 0.7485 0.7993
0.1921 0.8079 0.0000
0.0000 0.0000 0.0000
0.2500 0.7500 0.5000
0.5000 0.5000 0.0000
0.7500 0.2500 0.5000
```

Calculated values
energy relative to the elements, uncorrected	-2.7328	eV per atom
polymorph energy (0 for the lowest one)	0.000	eV/atom
crystal system	orthorhombic
raw total energy	-0.1723	Ha/atom